The following is a GGA-PBE calculation of HoTl2CuI6 after structural relaxation, from the Alexandria database.

Lattice parameters (Å, degrees): 7.0098 8.0939 8.7743 117.47 105.17 90.00
Element x y z (fractional)
1 Ho 0.0000 0.5000 0.0000
2 Tl 0.1645 0.2395 0.4789
3 Tl 0.8355 0.7605 0.5211
4 Cu 0.5000 0.0000 0.0000
5 I 0.2966 0.6836 0.3671
6 I 0.2191 0.1613 0.8507
7 I 0.7809 0.3106 0.1493
8 I 0.2191 0.6894 0.8507
9 I 0.7809 0.8387 0.1493
10 I 0.7034 0.3164 0.6329

Symmetry: C2/m
E_form (uncorrected) (eV per atom): -0.7593
M_tot (μB per atom): 0.000